Density functional theory data (GGA+U) for DyVP2O8 after structural relaxation.

Lattice parameters (Å, degrees): 5.6548 5.6548 5.6548 105.72 105.72 117.27
Last column: nearest neighbours and their distance in Å.
Sites, in units of the cell vectors:
Dy: 0.0000 0.0000 0.0000  8 O 2.28-2.34
V: 0.7500 0.2500 0.5000  8 O 2.24-2.26
P: 0.2500 0.7500 0.5000  4 O 1.55
P: 0.5000 0.5000 0.0000  4 O 1.56
O: 0.0786 0.4061 0.3275  1 P 1.55
O: 0.0786 0.7510 0.6725  1 P 1.55
O: 0.1579 0.3382 0.8197  1 P 1.56
O: 0.2490 0.9214 0.3275  1 P 1.55
O: 0.5185 0.3382 0.1803  1 P 1.56
O: 0.5939 0.9214 0.6725  1 P 1.55
O: 0.6618 0.4815 0.8197  1 P 1.56
O: 0.6618 0.8421 0.1803  1 P 1.56

Computed properties:
D(E_F)	0.000	states/eV/cell
E	-7.738	eV/atom
space-group type	I-4m2